#1
A plane-wave DFT calculation with PBE-GGA was carried out for an optimized crystal structure of KTa2Fe.

a = 2.762 Å, b = 5.474 Å, c = 10.901 Å
α = 90.00°, β = 90.00°, γ = 90.00°
Space group Immm (No. 71)
One atom of each set of equivalent atoms:
K1 0.000 0.000 0.000 (multiplicity 2)
Ta1 0.000 0.500 0.198 (multiplicity 4)
Fe1 0.000 0.000 0.500 (multiplicity 2)

#2
A plane-wave DFT calculation with PBE-GGA was carried out for an optimized crystal structure of KTa2Fe.

a = 3.018 Å, b = 3.931 Å, c = 8.164 Å
α = 90.00°, β = 90.00°, γ = 90.00°
Space group Pmm2 (No. 25)
One atom of each set of equivalent atoms:
K1 0.000 0.000 0.000 (multiplicity 1)
Ta1 0.000 0.000 0.558 (multiplicity 1)
Ta2 0.500 0.500 0.376 (multiplicity 1)
Fe1 0.500 0.500 0.651 (multiplicity 1)

#3
A plane-wave DFT calculation with PBE-GGA was carried out for an optimized crystal structure of KTa2Fe.

a = 4.006 Å, b = 4.006 Å, c = 5.033 Å
α = 90.00°, β = 90.00°, γ = 90.00°
Space group P4/mmm (No. 123)
One atom of each set of equivalent atoms:
K1 0.000 0.000 0.000 (multiplicity 1)
Ta1 0.000 0.500 0.500 (multiplicity 2)
Fe1 0.500 0.500 0.000 (multiplicity 1)

Which structure loses on stability? #3 does.

#1
A plane-wave DFT calculation with PBE-GGA was carried out for an optimized crystal structure of KTa2Fe.

a = 2.862 Å, b = 3.710 Å, c = 8.747 Å
α = 90.00°, β = 97.65°, γ = 90.00°
Space group P2/m (No. 10)
One atom of each set of equivalent atoms:
K1 0.000 0.000 0.000 (multiplicity 1)
Ta1 0.454 0.500 0.642 (multiplicity 2)
Fe1 0.000 0.000 0.500 (multiplicity 1)

#2
A plane-wave DFT calculation with PBE-GGA was carried out for an optimized crystal structure of KTa2Fe.

a = 3.262 Å, b = 4.778 Å, c = 10.383 Å
α = 90.00°, β = 90.00°, γ = 90.00°
Space group Cmm2 (No. 35)
One atom of each set of equivalent atoms:
K1 0.000 0.000 0.000 (multiplicity 2)
Ta1 0.000 0.000 0.457 (multiplicity 2)
Ta2 0.000 0.500 0.680 (multiplicity 2)
Fe1 0.000 0.500 0.274 (multiplicity 2)

#3
A plane-wave DFT calculation with PBE-GGA was carried out for an optimized crystal structure of KTa2Fe.

a = 4.761 Å, b = 4.761 Å, c = 3.082 Å
α = 90.00°, β = 90.00°, γ = 90.00°
Space group P4/mmm (No. 123)
One atom of each set of equivalent atoms:
K1 0.000 0.000 0.000 (multiplicity 1)
Ta1 0.000 0.500 0.500 (multiplicity 2)
Fe1 0.500 0.500 0.000 (multiplicity 1)

Which structure loses on stability? #3 does.

#1
A plane-wave DFT calculation with PBE-GGA was carried out for an optimized crystal structure of KTa2Fe.

a = 4.810 Å, b = 4.810 Å, c = 6.766 Å
α = 90.00°, β = 90.00°, γ = 90.00°
Space group I-4m2 (No. 119)
One atom of each set of equivalent atoms:
K1 0.000 0.000 0.000 (multiplicity 2)
Ta1 0.000 0.000 0.500 (multiplicity 2)
Ta2 0.000 0.500 0.250 (multiplicity 2)
Fe1 0.000 0.500 0.750 (multiplicity 2)

#2
A plane-wave DFT calculation with PBE-GGA was carried out for an optimized crystal structure of KTa2Fe.

a = 4.047 Å, b = 4.062 Å, c = 10.070 Å
α = 90.00°, β = 90.00°, γ = 90.00°
Space group Cmmm (No. 65)
One atom of each set of equivalent atoms:
K1 0.000 0.000 0.000 (multiplicity 2)
Ta1 0.000 0.500 0.334 (multiplicity 4)
Fe1 0.000 0.000 0.500 (multiplicity 2)

Which structure loses on stability? #1 does.